MgMnRe | GGA-PBE | optimized geometry

CIF file:
```
data_MgMnRe
_space_group_name_H-M_alt 'P 3 m 1'
_space_group_IT_number 156
_space_group_name_Hall 'P 3 -2"'
_cell_length_a 4.2888
_cell_length_b 4.2888
_cell_length_c 2.6876
_cell_angle_alpha 90.00
_cell_angle_beta 90.00
_cell_angle_gamma 120.00
loop_
_atom_site_label
_atom_site_type_symbol
_atom_site_fract_x
_atom_site_fract_y
_atom_site_fract_z
Mg1 Mg 0.0000 0.0000 0.0000
Mn1 Mn 0.6667 0.3333 0.3553
Re1 Re 0.3333 0.6667 0.5827
```

Calculated values
Total magnetic moment: 1.08 μB/f.u.
Energy above the lowest structure with this stoichiometry: 0.089 eV per atom

Rb2As3 | GGA-PBE | optimized geometry

CIF file:
```
data_Rb2As3
_space_group_name_H-M_alt 'F m m m'
_space_group_IT_number 69
_space_group_name_Hall '-F 2 2'
_cell_length_a 9.311
_cell_length_b 10.286
_cell_length_c 15.505
_cell_angle_alpha 90.00
_cell_angle_beta 90.00
_cell_angle_gamma 90.00
loop_
_atom_site_label
_atom_site_type_symbol
_atom_site_fract_x
_atom_site_fract_y
_atom_site_fract_z
Rb1 Rb 0.000 0.238 0.000
Rb2 Rb 0.250 0.250 0.250
As1 As 0.000 0.000 0.343
As2 As 0.225 0.000 0.422
```

Calculated values
Total magnetic moment: 0.00 μB/f.u.

LiAcSmTl | GGA-PBE | optimized geometry

CIF file:
```
data_LiAcSmTl
_space_group_name_H-M_alt 'P m m m'
_space_group_IT_number 47
_space_group_name_Hall '-P 2 2'
_cell_length_a 4.416
_cell_length_b 5.171
_cell_length_c 5.360
_cell_angle_alpha 90.00
_cell_angle_beta 90.00
_cell_angle_gamma 90.00
loop_
_atom_site_label
_atom_site_type_symbol
_atom_site_fract_x
_atom_site_fract_y
_atom_site_fract_z
Li1 Li 0.000 0.000 0.000
Ac1 Ac 0.500 0.500 0.000
Sm1 Sm 0.500 0.000 0.500
Tl1 Tl 0.000 0.500 0.500
```

Calculated values
Total magnetic moment: 0.00 μB/f.u.
Energy above the lowest structure with this stoichiometry: 0.008 eV per atom

| no. | formation energy from the elements (meV per atom) |
| --- | --- |
| 1 | 242 |
| 2 | -423 |
| 3 | -156 |